(1)
The following is a DFT calculation (meta-GGA SCAN) of CaHfBC2 at its PBEsol-relaxed geometry.

Cell: 3.7968 3.7968 3.9041 Å, 90.00 90.00 90.00°
Closest atoms and distances in Å follow each position.
Element x y z (fractional)
Hf 0.5000 0.5000 0.5000  4 Ca 2.68, 8 C 2.72
C 0.0000 0.5000 0.0000  2 B 1.90
C 0.5000 0.0000 0.0000  2 B 1.90
Ca 0.0000 0.0000 0.5000  2 B 1.95
B 0.0000 0.0000 0.0000  4 C 1.90, 2 Ca 1.95

Computed properties:
M_tot	0.00	μB/cell
energy	-17.927	eV per atom
energy of formation from the pure elements	2066	meV per atom

=====

(2)
The following is a DFT calculation (meta-GGA SCAN) of CdCuBC2 at its PBEsol-relaxed geometry.

Cell: 4.0782 4.0782 4.8483 Å, 90.00 90.00 90.00°
Closest atoms and distances in Å follow each position.
Element x y z (fractional)
Cd 0.0000 0.0000 0.0000  4 C 2.04
Cu 0.0000 0.0000 0.5000  2 Cd 2.42
C 0.5000 0.0000 0.0000  2 Cd 2.04
C 0.0000 0.5000 0.0000  2 Cd 2.04
B 0.5000 0.5000 0.5000  4 Cu 2.88, 8 C 3.17

Computed properties:
M_tot	1.08	μB/cell
energy	-11.235	eV per atom
energy of formation from the pure elements	3413	meV per atom